Material: Ca2MnNbOs
Method: DFT, GGA-PBE
State: relaxed

a b c (Å): 5.4489 4.7884 5.4489
angles (deg): 90.00 90.00 90.00
Fractional coordinates of all 5 atoms:
Mn (0.5000, 0.5000, 0.5000)
Os (0.0000, 0.0000, 0.0000)
Ca (0.0000, 0.0000, 0.5000)
Ca (0.5000, 0.0000, 0.0000)
Nb (0.0000, 0.5000, 0.0000)

Results
Energy   -27.74 eV per cell
Calculated formation energy   130.0 kJ per mole of atoms
V   142.2 Å³/cell

Material: PmTm3Sb4
Method: DFT, GGA-PBE
State: relaxed

a b c (Å): 6.1884 6.1884 6.1884
angles (deg): 90.00 90.00 90.00
Fractional coordinates of all 8 atoms:
Sb (0.0000, 0.5000, 0.0000)
Sb (0.0000, 0.0000, 0.5000)
Sb (0.5000, 0.5000, 0.5000)
Sb (0.5000, 0.0000, 0.0000)
Tm (0.5000, 0.5000, 0.0000)
Tm (0.5000, 0.0000, 0.5000)
Tm (0.0000, 0.5000, 0.5000)
Pm (0.0000, 0.0000, 0.0000)

Results
Energy   -43.37 eV per cell
V   237.0 Å³/cell
ΔE_f (raw)   -1.0892 eV per atom
Distance to the lowest polymorph of the same formula   0.002 eV/atom

Material: CdCu2As
Method: DFT, GGA-PBE
State: relaxed

a b c (Å): 4.5131 4.5131 4.5131
angles (deg): 60.00 60.00 60.00
Fractional coordinates of all 4 atoms:
Cu (0.2500, 0.2500, 0.2500)
Cu (0.7500, 0.7500, 0.7500)
Cd (0.5000, 0.5000, 0.5000)
As (0.0000, 0.0000, 0.0000)

Results
Energy   -12.91 eV per cell
Calculated formation energy   20.3 kJ per mole of atoms
V   65.0 Å³/cell
Distance to the lowest polymorph of the same formula   0.098 eV/atom

Material: Fe2AsP
Method: DFT, GGA-PBE
State: relaxed

a b c (Å): 3.1603 5.2863 5.9269
angles (deg): 90.00 90.00 90.00
Fractional coordinates of all 8 atoms:
Fe (0.5000, 0.0004, 0.9588)
Fe (0.0000, 0.9912, 0.5610)
Fe (0.5000, 0.5004, 0.0412)
Fe (0.0000, 0.4912, 0.4390)
P (0.0000, 0.7014, 0.8265)
P (0.0000, 0.2014, 0.1735)
As (0.5000, 0.3070, 0.6784)
As (0.5000, 0.8070, 0.3216)

Results
Energy   -56.90 eV per cell
Calculated formation energy   -35.4 kJ per mole of atoms
V   99.0 Å³/cell

Material: LaGe2Ru
Method: DFT, GGA-PBE
State: relaxed

a b c (Å): 4.3754 7.1956 10.5555
angles (deg): 90.00 90.00 90.00
Fractional coordinates of all 16 atoms:
Ge (0.7500, 0.1355, 0.8184)
Ge (0.7500, 0.6355, 0.6816)
Ge (0.7500, 0.1802, 0.4208)
Ge (0.2500, 0.8645, 0.1816)
Ge (0.7500, 0.6802, 0.0792)
Ge (0.2500, 0.3645, 0.3184)
Ge (0.2500, 0.3198, 0.9208)
Ge (0.2500, 0.8198, 0.5792)
Ru (0.2500, 0.0143, 0.3906)
Ru (0.7500, 0.9857, 0.6094)
Ru (0.2500, 0.5143, 0.1094)
Ru (0.7500, 0.4857, 0.8906)
La (0.2500, 0.8295, 0.8740)
La (0.2500, 0.3295, 0.6260)
La (0.7500, 0.6705, 0.3740)
La (0.7500, 0.1705, 0.1260)

Results
Energy   -104.61 eV per cell
Calculated formation energy   -65.5 kJ per mole of atoms
V   332.3 Å³/cell

Material: TaReCl2
Method: DFT, GGA-PBE
State: relaxed

a b c (Å): 4.0767 4.0104 4.0104
angles (deg): 90.00 90.00 90.00
Fractional coordinates of all 4 atoms:
Cl (0.0000, 0.0000, 0.0000)
Cl (0.0000, 0.5000, 0.5000)
Ta (0.5000, 0.0000, 0.5000)
Re (0.5000, 0.5000, 0.0000)

Results
Energy   -23.40 eV per cell
V   65.6 Å³/cell
ΔE_f (raw)   1.1496 eV per atom
Distance to the lowest polymorph of the same formula   1.650 eV/atom

Material: Sc3TlNi
Method: DFT, GGA-PBE
State: relaxed

a b c (Å): 5.3076 5.3076 5.3076
angles (deg): 90.00 90.00 90.00
Fractional coordinates of all 5 atoms:
Ni (0.5000, 0.5000, 0.5000)
Sc (0.0000, 0.0000, 0.5000)
Sc (0.0000, 0.5000, 0.0000)
Sc (0.5000, 0.0000, 0.0000)
Tl (0.0000, 0.0000, 0.0000)

Results
Energy   -22.60 eV per cell
Calculated formation energy   87.6 kJ per mole of atoms
V   149.5 Å³/cell
Distance to the lowest polymorph of the same formula   1.208 eV/atom

Material: Ti2InHAu
Method: DFT, GGA-PBE
State: relaxed

a b c (Å): 4.0941 4.0941 4.3816
angles (deg): 90.00 90.00 90.00
Fractional coordinates of all 5 atoms:
In (0.5000, 0.5000, 0.5000)
Ti (0.5000, 0.0000, 0.0000)
Ti (0.0000, 0.5000, 0.0000)
Au (0.0000, 0.0000, 0.5000)
H (0.0000, 0.0000, 0.0000)

Results
Energy   -26.45 eV per cell
V   73.4 Å³/cell
Distance to the lowest polymorph of the same formula   0.000 eV/atom

The highest energy belongs to which entry?
CdCu2As

The highest energy belongs to which entry?
CdCu2As